Entry 1:
This record from the Alexandria database describes In8SnPb5 after structural relaxation. The functional is PBE.

a = 8.1805 Å, b = 8.1805 Å, c = 8.1805 Å
α = 107.90°, β = 107.90°, γ = 112.65°
Closest atoms and distances in Å follow each position.
Positions (direct):
In 0.0201 0.1236 0.7914  2 In 3.17-3.30, 2 Pb 3.31-3.42, 1 Sn 3.34
In 0.2040 0.3805 0.5839  1 Sn 3.08, 5 Pb 3.15-3.34, 1 In 3.30
In 0.3323 0.2287 0.2086  2 In 3.17-3.30, 2 Pb 3.31-3.42, 1 Sn 3.34
In 0.3799 0.7960 0.1765  1 Sn 3.08, 5 Pb 3.15-3.34, 1 In 3.30
In 0.6195 0.2033 0.8235  1 Sn 3.08, 5 Pb 3.15-3.34, 1 In 3.30
In 0.7713 0.9799 0.1036  2 In 3.17-3.30, 2 Pb 3.31-3.42, 1 Sn 3.34
In 0.7967 0.6201 0.4161  1 Sn 3.08, 5 Pb 3.15-3.34, 1 In 3.30
In 0.8764 0.6677 0.8964  2 In 3.17-3.30, 2 Pb 3.31-3.42, 1 Sn 3.34
Sn 0.5000 0.5000 0.0000  8 In 3.08-3.34
Pb 0.0392 0.4578 0.2122  5 In 3.15-3.34, 2 Pb 3.48
Pb 0.1730 0.9608 0.4187  5 In 3.15-3.34, 2 Pb 3.48
Pb 0.2457 0.8270 0.7878  5 In 3.15-3.34, 2 Pb 3.48
Pb 0.5422 0.7543 0.5813  5 In 3.15-3.34, 2 Pb 3.48
Pb 0.7500 0.2500 0.5000  8 In 3.21-3.42

Calculated values
- energy of formation from the pure elements (kJ per mole of atoms) = 7.7



Entry 2:
This record from the Alexandria database describes Li2CoReN4 after structural relaxation. The functional is PBE.

a = 6.2743 Å, b = 5.7371 Å, c = 5.2213 Å
α = 90.00°, β = 90.00°, γ = 90.00°
Closest atoms and distances in Å follow each position.
Positions (direct):
Li 0.2478 0.1671 0.0000  4 N 2.08-2.16
Li 0.2522 0.8329 0.5000  4 N 2.08-2.16
Li 0.7478 0.8329 0.5000  4 N 2.08-2.16
Li 0.7522 0.1671 0.0000  4 N 2.08-2.16
Co 0.0000 0.6734 0.0014  4 N 1.81-1.85
Co 0.5000 0.3266 0.5014  4 N 1.81-1.85
Re 0.0000 0.3482 0.5077  4 N 1.83-1.86
Re 0.5000 0.6518 0.0077  4 N 1.83-1.86
N 0.0000 0.3848 0.8596  1 Co 1.81, 1 Re 1.85
N 0.0000 0.6329 0.3501  1 Re 1.83, 1 Co 1.84
N 0.2449 0.1858 0.4126  1 Co 1.85, 1 Re 1.86
N 0.2551 0.8142 0.9126  1 Co 1.85, 1 Re 1.86
N 0.5000 0.3671 0.8501  1 Re 1.83, 1 Co 1.84
N 0.5000 0.6152 0.3596  1 Co 1.81, 1 Re 1.85
N 0.7449 0.8142 0.9126  1 Co 1.85, 1 Re 1.86
N 0.7551 0.1858 0.4126  1 Co 1.85, 1 Re 1.86

Calculated values
- uncorrected formation energy (kJ/mol of formula units) = -115



Entry 3:
This record from the Alexandria database describes VCd2Hg after structural relaxation. The functional is PBE.

a = 4.8480 Å, b = 4.8480 Å, c = 4.8480 Å
α = 60.00°, β = 60.00°, γ = 60.00°
Closest atoms and distances in Å follow each position.
Positions (direct):
V 0.0000 0.0000 0.0000  8 Cd 2.97
Cd 0.2500 0.2500 0.2500  4 Hg 2.97, 4 V 2.97
Cd 0.7500 0.7500 0.7500  4 Hg 2.97, 4 V 2.97
Hg 0.5000 0.5000 0.5000  8 Cd 2.97

Calculated values
- energy of formation from the pure elements (kJ per mole of atoms) = 34.9
- relative energy among the computed polymorphs (meV per atom) = 0



Entry 4:
This record from the Alexandria database describes Ho2BeSi2Ir5 after structural relaxation. The functional is PBE.

a = 9.6330 Å, b = 9.6330 Å, c = 3.4050 Å
α = 90.00°, β = 90.00°, γ = 90.00°
Closest atoms and distances in Å follow each position.
Positions (direct):
Ho 0.1736 0.3264 0.0000  3 Si 2.71-2.94, 2 Ir 2.91
Ho 0.3264 0.8264 0.0000  3 Si 2.71-2.94, 2 Ir 2.91
Ho 0.6736 0.1736 0.0000  3 Si 2.71-2.94, 2 Ir 2.91
Ho 0.8264 0.6736 0.0000  3 Si 2.71-2.94, 2 Ir 2.91
Be 0.0000 0.0000 0.0000  8 Ir 2.67
Be 0.5000 0.5000 0.0000  8 Ir 2.67
Si 0.1278 0.6278 0.0000  6 Ir 2.43-2.44, 1 Ho 2.71
Si 0.3722 0.1278 0.0000  6 Ir 2.43-2.44, 1 Ho 2.71
Si 0.6278 0.8722 0.0000  6 Ir 2.43-2.44, 1 Ho 2.71
Si 0.8722 0.3722 0.0000  6 Ir 2.43-2.44, 1 Ho 2.71
Ir 0.0000 0.5000 0.5000  4 Si 2.44
Ir 0.0651 0.7964 0.5000  2 Si 2.43, 2 Be 2.67
Ir 0.2036 0.0651 0.5000  2 Si 2.43, 2 Be 2.67
Ir 0.2964 0.5651 0.5000  2 Si 2.43, 2 Be 2.67
Ir 0.4349 0.2964 0.5000  2 Si 2.43, 2 Be 2.67
Ir 0.5000 0.0000 0.5000  4 Si 2.44
Ir 0.5651 0.7036 0.5000  2 Si 2.43, 2 Be 2.67
Ir 0.7036 0.4349 0.5000  2 Si 2.43, 2 Be 2.67
Ir 0.7964 0.9349 0.5000  2 Si 2.43, 2 Be 2.67
Ir 0.9349 0.2036 0.5000  2 Si 2.43, 2 Be 2.67

Calculated values
- uncorrected formation energy (kJ/mol of formula units) = -733



Entry 5:
This record from the Alexandria database describes LiTa2Re after structural relaxation. The functional is PBE.

a = 2.7582 Å, b = 2.7582 Å, c = 9.4826 Å
α = 90.00°, β = 90.00°, γ = 109.97°
Closest atoms and distances in Å follow each position.
Positions (direct):
Li 0.0000 0.0000 0.0000  2 Re 2.75, 4 Li 2.76, 2 Ta 3.05
Ta 0.0000 0.0000 0.4675  2 Re 2.70, 6 Ta 2.76-2.91
Ta 0.5000 0.5000 0.7250  6 Ta 2.76-2.91, 2 Li 3.05
Re 0.5000 0.5000 0.2368  2 Ta 2.70, 2 Li 2.75, 4 Re 2.76

Calculated values
- energy of formation from the pure elements (kJ per mole of atoms) = 15.7



Entry 6:
This record from the Alexandria database describes ErZr2B6 after structural relaxation. The functional is PBE.

a = 5.5533 Å, b = 5.5533 Å, c = 3.6296 Å
α = 90.00°, β = 90.00°, γ = 120.00°
Closest atoms and distances in Å follow each position.
Positions (direct):
Er 0.0000 0.0000 0.0000  12 B 2.61
Zr 0.3333 0.6667 0.0000  12 B 2.59
Zr 0.6667 0.3333 0.0000  12 B 2.59
B 0.0000 0.3366 0.5000  3 B 1.81-1.87
B 0.0000 0.6634 0.5000  3 B 1.81-1.87
B 0.3366 0.0000 0.5000  3 B 1.81-1.87
B 0.3366 0.3366 0.5000  3 B 1.81-1.87
B 0.6634 0.0000 0.5000  3 B 1.81-1.87
B 0.6634 0.6634 0.5000  3 B 1.81-1.87

Calculated values
- energy of formation from the pure elements (kJ per mole of atoms) = -84.1



Entry 7:
This record from the Alexandria database describes KAgAu after structural relaxation. The functional is PBE.

a = 4.7677 Å, b = 6.4140 Å, c = 6.6673 Å
α = 69.44°, β = 89.88°, γ = 68.34°
Closest atoms and distances in Å follow each position.
Positions (direct):
K 0.1064 0.2874 0.3068  5 Au 3.45-3.49, 5 Ag 3.50-3.74
K 0.8936 0.7126 0.6932  5 Au 3.45-3.49, 5 Ag 3.50-3.74
Ag 0.2151 0.0691 0.8874  2 Ag 2.76-2.78, 3 Au 2.82-2.86
Ag 0.7849 0.9309 0.1126  2 Ag 2.76-2.78, 3 Au 2.82-2.86
Au 0.3995 0.7023 0.3143  1 Au 2.73, 3 Ag 2.82-2.86
Au 0.6005 0.2977 0.6857  1 Au 2.73, 3 Ag 2.82-2.86

Calculated values
- energy of formation from the pure elements (kJ per mole of atoms) = -14.3
- relative energy among the computed polymorphs (meV per atom) = 21



Entry 8:
This record from the Alexandria database describes Pr3BiC after structural relaxation. The functional is PBE.

a = 5.1728 Å, b = 5.1728 Å, c = 5.1728 Å
α = 90.00°, β = 90.00°, γ = 90.00°
Closest atoms and distances in Å follow each position.
Positions (direct):
Pr 0.0000 0.0000 0.5000  2 C 2.59
Pr 0.0000 0.5000 0.0000  2 C 2.59
Pr 0.5000 0.0000 0.0000  2 C 2.59
Bi 0.5000 0.5000 0.5000  12 Pr 3.66
C 0.0000 0.0000 0.0000  6 Pr 2.59

Calculated values
- energy of formation from the pure elements (kJ per mole of atoms) = -40.4
- relative energy among the computed polymorphs (meV per atom) = 17



Number 1: D(E_F) 0.517 states/eV per atom. Number 2: D(E_F) 0.563 states/eV per atom. Number 3: D(E_F) 0.699 states/eV per atom. Number 4: D(E_F) 0.195 states/eV per atom. Number 5: D(E_F) 0.627 states/eV per atom. Number 6: D(E_F) 0.117 states/eV per atom. Number 7: D(E_F) 0.282 states/eV per atom. Number 8: D(E_F) 0.621 states/eV per atom.